[1]
The following is a DFT calculation (PBE) of ErZrTa after structural relaxation.

The space group is F-43m (No. 216) and the conventional cell measures 6.793, 6.793 and 6.793 Å, with angles of 90.00, 90.00 and 90.00 degrees. Symmetry generates all atoms from Er at (0.000, 0.000, 0.000), Zr at (0.250, 0.250, 0.250) and Ta at (0.000, 0.000, 0.500).

For the density, the calculation gives 9.3 g/cm³. The value obtained for the energy above the most stable polymorph in this dataset is 0.0 meV per atom.

---

[2]
The following is a DFT calculation (PBE) of ScAuSO after structural relaxation.

The space group is Aem2 (No. 39) and the conventional cell measures 9.003, 5.372 and 5.383 Å, with angles of 90.00, 90.00 and 90.00 degrees. Symmetry generates all atoms from Sc at (0.107, 0.250, 0.000), Au at (0.500, 0.000, 0.001), S at (0.274, 0.250, 0.502) and O at (0.000, 0.000, 0.250).

For the density, the calculation gives 7.4 g/cm³. The value obtained for the energy above the most stable polymorph in this dataset is 138.2 meV per atom.

---

[3]
The following is a DFT calculation (PBE) of CdReW after structural relaxation.

The space group is F-43m (No. 216) and the conventional cell measures 6.190, 6.190 and 6.190 Å, with angles of 90.00, 90.00 and 90.00 degrees. Symmetry generates all atoms from Cd at (0.000, 0.000, 0.000), Re at (0.250, 0.250, 0.250) and W at (0.000, 0.000, 0.500).

For the density, the calculation gives 13.5 g/cm³. The value obtained for the energy above the most stable polymorph in this dataset is 0.0 meV per atom.

---

[4]
The following is a DFT calculation (PBE) of YZnPd after structural relaxation.

The space group is F-43m (No. 216) and the conventional cell measures 6.475, 6.475 and 6.475 Å, with angles of 90.00, 90.00 and 90.00 degrees. Symmetry generates all atoms from Y at (0.000, 0.000, 0.000), Zn at (0.000, 0.000, 0.500) and Pd at (0.250, 0.250, 0.250).

For the density, the calculation gives 6.4 g/cm³. The total DFT energy (no corrections) comes out at -4.8626 eV per atom.

---

[5]
The following is a DFT calculation (PBE) of CsPmSi after structural relaxation.

The space group is F-43m (No. 216) and the conventional cell measures 7.663, 7.663 and 7.663 Å, with angles of 90.00, 90.00 and 90.00 degrees. Symmetry generates all atoms from Cs at (0.000, 0.000, 0.000), Pm at (0.000, 0.000, 0.500) and Si at (0.250, 0.250, 0.250).

For the density, the calculation gives 4.5 g/cm³. The value obtained for the energy above the most stable polymorph in this dataset is 0.0 meV per atom.

---

[6]
The following is a DFT calculation (PBE) of Y2ZnBi after structural relaxation.

The space group is F-43m (No. 216) and the conventional cell measures 7.588, 7.588 and 7.588 Å, with angles of 90.00, 90.00 and 90.00 degrees. Symmetry generates all atoms from Y at (0.000, 0.000, 0.000), Y at (0.250, 0.250, 0.250), Zn at (0.250, 0.250, 0.750) and Bi at (0.000, 0.000, 0.500).

For the density, the calculation gives 6.9 g/cm³. The total DFT energy (no corrections) comes out at -4.5091 eV per atom.

---

[7]
The following is a DFT calculation (PBE) of NaTmCd after structural relaxation.

The space group is F-43m (No. 216) and the conventional cell measures 7.212, 7.212 and 7.212 Å, with angles of 90.00, 90.00 and 90.00 degrees. Symmetry generates all atoms from Na at (0.000, 0.000, 0.000), Tm at (0.250, 0.250, 0.750) and Cd at (0.000, 0.000, 0.500).

For the density, the calculation gives 5.4 g/cm³. The value obtained for the energy above the most stable polymorph in this dataset is 255.1 meV per atom.

---

[8]
The following is a DFT calculation (PBE) of LuTa2Sb after structural relaxation.

The space group is F-43m (No. 216) and the conventional cell measures 6.892, 6.892 and 6.892 Å, with angles of 90.00, 90.00 and 90.00 degrees. Symmetry generates all atoms from Lu at (0.000, 0.000, 0.000), Ta at (0.000, 0.000, 0.500), Ta at (0.250, 0.250, 0.250) and Sb at (0.250, 0.250, 0.750).

For the density, the calculation gives 13.4 g/cm³. The total DFT energy (no corrections) comes out at -7.9822 eV per atom.

---

[9]
The following is a DFT calculation (PBE) of Gd after structural relaxation.

The space group is P6_3/mmc (No. 194) and the conventional cell measures 3.5852, 3.5852 and 11.5414 Å, with angles of 90.00, 90.00 and 120.00 degrees. Symmetry generates all atoms from Gd at (0.0000, 0.0000, 0.0000) and Gd at (0.3333, 0.6667, 0.2500).

For the density, the calculation gives 8.1 g/cm³. The value obtained for the energy above the most stable polymorph in this dataset is 0.0 meV per atom.

---

[10]
The following is a DFT calculation (PBE) of ScBeNiPb after structural relaxation.

The space group is F-43m (No. 216) and the conventional cell measures 6.435, 6.435 and 6.435 Å, with angles of 90.00, 90.00 and 90.00 degrees. Symmetry generates all atoms from Sc at (0.000, 0.000, 0.000), Be at (0.000, 0.000, 0.500), Ni at (0.250, 0.250, 0.250) and Pb at (0.250, 0.250, 0.750).

For the density, the calculation gives 8.0 g/cm³. The value obtained for the energy above the most stable polymorph in this dataset is 121.1 meV per atom.

---

[11]
The following is a DFT calculation (PBE) of LaW2Au2 after structural relaxation.

The space group is P6_3/mmc (No. 194) and the conventional cell measures 4.5659, 4.5659 and 13.4370 Å, with angles of 90.00, 90.00 and 120.00 degrees. Symmetry generates all atoms from La at (0.0000, 0.0000, 0.0000), W at (0.3333, 0.6667, 0.1641) and Au at (0.3333, 0.6667, 0.6430).

For the density, the calculation gives 12.3 g/cm³. The total DFT energy (no corrections) comes out at -6.8241 eV per atom.

---

[12]
The following is a DFT calculation (PBE) of Sr2Au17 after structural relaxation.

The space group is C2/m (No. 12) and the conventional cell measures 10.930, 9.634 and 7.276 Å, with angles of 90.00, 99.48 and 90.00 degrees. Symmetry generates all atoms from Sr at (0.160, 0.000, 0.338), Au at (0.000, 0.196, 0.000), Au at (0.000, 0.500, 0.500), Au at (0.096, 0.246, 0.650), Au at (0.101, 0.500, 0.900), Au at (0.149, 0.000, 0.843), Au at (0.154, 0.347, 0.307) and Au at (0.250, 0.250, 0.000).

For the density, the calculation gives 15.5 g/cm³. The total DFT energy (no corrections) comes out at -3.3761 eV per atom.

---

[13]
The following is a DFT calculation (PBE) of La3Mg3TlPt2 after structural relaxation.

The space group is P-62m (No. 189) and the conventional cell measures 7.6356, 7.6356 and 4.4310 Å, with angles of 90.00, 90.00 and 120.00 degrees. Symmetry generates all atoms from La at (0.0000, 0.4293, 0.0000), Mg at (0.0000, 0.7488, 0.5000), Tl at (0.0000, 0.0000, 0.0000) and Pt at (0.3333, 0.6667, 0.5000).

For the density, the calculation gives 8.0 g/cm³. The total DFT energy (no corrections) comes out at -4.4593 eV per atom.

---

[14]
The following is a DFT calculation (PBE) of PmTcO3 after structural relaxation.

The space group is R-3c (No. 167, hexagonal axes) and the conventional cell measures 5.7615, 5.7615 and 12.4868 Å, with angles of 90.00, 90.00 and 120.00 degrees. Symmetry generates all atoms from Pm at (0.0000, 0.0000, 0.2500), Tc at (0.0000, 0.0000, 0.0000) and O at (0.0000, 0.4015, 0.2500).

For the density, the calculation gives 8.1 g/cm³. The total DFT energy (no corrections) comes out at -8.1608 eV per atom.

---

[15]
The following is a DFT calculation (PBE) of KYTe3Pd after structural relaxation.

The space group is Cmcm (No. 63) and the conventional cell measures 4.435, 17.683 and 10.108 Å, with angles of 90.00, 90.00 and 90.00 degrees. Symmetry generates all atoms from K at (0.000, 0.245, 0.250), Y at (0.000, 0.000, 0.000), Te at (0.000, 0.099, 0.750), Te at (0.000, 0.388, 0.588) and Pd at (0.000, 0.493, 0.250).

For the density, the calculation gives 5.2 g/cm³. The value obtained for the energy above the most stable polymorph in this dataset is 0.0 meV per atom.

---

[16]
The following is a DFT calculation (PBE) of AlZnH6Pb after structural relaxation.

The space group is F-43m (No. 216) and the conventional cell measures 7.165, 7.165 and 7.165 Å, with angles of 90.00, 90.00 and 90.00 degrees. Symmetry generates all atoms from Al at (0.000, 0.000, 0.000), Zn at (0.250, 0.250, 0.750), H at (0.000, 0.000, 0.245) and Pb at (0.250, 0.250, 0.250).

For the density, the calculation gives 5.5 g/cm³. The total DFT energy (no corrections) comes out at -2.7836 eV per atom.

---

[17]
The following is a DFT calculation (PBE) of NaLuNiGe after structural relaxation.

The space group is F-43m (No. 216) and the conventional cell measures 6.469, 6.469 and 6.469 Å, with angles of 90.00, 90.00 and 90.00 degrees. Symmetry generates all atoms from Na at (0.000, 0.000, 0.000), Lu at (0.250, 0.250, 0.750), Ni at (0.000, 0.000, 0.500) and Ge at (0.250, 0.250, 0.250).

For the density, the calculation gives 8.1 g/cm³. The value obtained for the energy above the most stable polymorph in this dataset is 0.0 meV per atom.

---

[18]
The following is a DFT calculation (PBE) of HoHfGa2Pt4 after structural relaxation.

The space group is P-6m2 (No. 187) and the conventional cell measures 4.3364, 4.3364 and 8.9035 Å, with angles of 90.00, 90.00 and 120.00 degrees. Symmetry generates all atoms from Ho at (0.0000, 0.0000, 0.0000), Hf at (0.6667, 0.3333, 0.5000), Ga at (0.3333, 0.6667, 0.2504), Pt at (0.0000, 0.0000, 0.3462) and Pt at (0.6667, 0.3333, 0.1725).

For the density, the calculation gives 14.5 g/cm³. The total DFT energy (no corrections) comes out at -6.6268 eV per atom.

---

[19]
The following is a DFT calculation (PBE) of DySi2Pd after structural relaxation.

The space group is Pmc2_1 (No. 26) and the conventional cell measures 3.973, 4.911 and 7.562 Å, with angles of 90.00, 90.00 and 90.00 degrees. Symmetry generates all atoms from Dy at (0.000, 0.085, 0.000), Si at (0.000, 0.449, 0.311), Si at (0.500, 0.166, 0.278) and Pd at (0.500, 0.355, 0.625).

For the density, the calculation gives 7.3 g/cm³. The total DFT energy (no corrections) comes out at -5.7016 eV per atom.

---

[20]
The following is a DFT calculation (PBE) of RbTaBeNi after structural relaxation.

The space group is F-43m (No. 216) and the conventional cell measures 6.431, 6.431 and 6.431 Å, with angles of 90.00, 90.00 and 90.00 degrees. Symmetry generates all atoms from Rb at (0.000, 0.000, 0.000), Ta at (0.250, 0.250, 0.250), Be at (0.250, 0.250, 0.750) and Ni at (0.000, 0.000, 0.500).

For the density, the calculation gives 8.3 g/cm³. The value obtained for the energy above the most stable polymorph in this dataset is 0.0 meV per atom.